This record from Alexandria via LeMat-Bulk describes a geometry-optimized AsPIBr2 structure. The functional is PBE.

Values from the calculation:
energy above the lowest structure with this stoichiometry	713.4	meV per atom
crystal system	tetragonal
density	3.42	g/cm³
total DFT energy (no corrections)	-1.93	eV per atom
formation energy (no corrections)	1.064	eV per atom
N(E_F)	0.707	states/eV/atom
magnetization	0.98	Bohr magnetons per cell

Unit cell a=5.754 b=5.754 c=5.757 alpha=90.00 beta=90.00 gamma=90.00
Sites, in units of the cell vectors:
I 0.000 0.000 0.000
P 0.500 0.500 0.500
As 0.000 0.000 0.500
Br 0.000 0.500 0.000
Br 0.500 0.000 0.000

***

This record from Alexandria via LeMat-Bulk describes a geometry-optimized AsPdIBr2 structure. The functional is PBE.

Values from the calculation:
energy above the lowest structure with this stoichiometry	0.0	meV per atom
crystal system	tetragonal
density	5.81	g/cm³
total DFT energy (no corrections)	-2.73	eV per atom
formation energy (no corrections)	0.219	eV per atom
N(E_F)	0.775	states/eV/atom
magnetization	0.00	Bohr magnetons per cell

Unit cell a=5.131 b=5.131 c=5.081 alpha=90.00 beta=90.00 gamma=90.00
Sites, in units of the cell vectors:
I 0.500 0.500 0.500
As 0.000 0.000 0.500
Br 0.000 0.500 0.000
Br 0.500 0.000 0.000
Pd 0.000 0.000 0.000

***

This record from Alexandria via LeMat-Bulk describes a geometry-optimized As2PdIBr structure. The functional is PBE.

Values from the calculation:
energy above the lowest structure with this stoichiometry	0.0	meV per atom
crystal system	tetragonal
density	5.98	g/cm³
total DFT energy (no corrections)	-3.16	eV per atom
formation energy (no corrections)	0.384	eV per atom
N(E_F)	0.802	states/eV/atom
magnetization	0.26	Bohr magnetons per cell

Unit cell a=5.010 b=5.010 c=5.120 alpha=90.00 beta=90.00 gamma=90.00
Sites, in units of the cell vectors:
I 0.500 0.500 0.500
As 0.000 0.500 0.000
As 0.500 0.000 0.000
Br 0.000 0.000 0.500
Pd 0.000 0.000 0.000

***

This record from Alexandria via LeMat-Bulk describes a geometry-optimized RbAs2IBr structure. The functional is PBE.

Values from the calculation:
energy above the lowest structure with this stoichiometry	583.8	meV per atom
crystal system	tetragonal
density	2.23	g/cm³
total DFT energy (no corrections)	-1.86	eV per atom
formation energy (no corrections)	0.837	eV per atom
N(E_F)	2.623	states/eV/atom
magnetization	4.92	Bohr magnetons per cell

Unit cell a=7.279 b=7.279 c=6.214 alpha=90.00 beta=90.00 gamma=90.00
Sites, in units of the cell vectors:
I 0.500 0.500 0.500
As 0.000 0.500 0.000
As 0.500 0.000 0.000
Br 0.000 0.000 0.500
Rb 0.000 0.000 0.000

***

This record from Alexandria via LeMat-Bulk describes a geometry-optimized RbAs2IBr structure. The functional is PBE.

Values from the calculation:
energy above the lowest structure with this stoichiometry	0.0	meV per atom
crystal system	tetragonal
density	3.31	g/cm³
total DFT energy (no corrections)	-2.44	eV per atom
formation energy (no corrections)	0.253	eV per atom
N(E_F)	0.880	states/eV/atom
magnetization	0.00	Bohr magnetons per cell

Unit cell a=5.334 b=5.334 c=7.808 alpha=90.00 beta=90.00 gamma=90.00
Sites, in units of the cell vectors:
I 0.000 0.000 0.000
As 0.000 0.500 0.000
As 0.500 0.000 0.000
Br 0.000 0.000 0.500
Rb 0.500 0.500 0.500

***

This record from Alexandria via LeMat-Bulk describes a geometry-optimized Rb2AsIBr6 structure. The functional is PBE.

Values from the calculation:
crystal system	tetragonal
density	3.60	g/cm³
total DFT energy (no corrections)	-2.63	eV per atom
formation energy (no corrections)	-0.810	eV per atom
N(E_F)	0.270	states/eV/atom
magnetization	0.00	Bohr magnetons per cell

Unit cell a=7.952 b=7.952 c=8.386 alpha=61.70 beta=61.70 gamma=90.00
Sites, in units of the cell vectors:
I 0.000 0.000 0.000
As 0.500 0.500 0.000
Br 0.288 0.288 0.425
Br 0.712 0.712 0.575
Br 0.267 0.267 0.000
Br 0.733 0.733 0.000
Br 0.733 0.267 0.000
Br 0.267 0.733 0.000
Rb 0.750 0.250 0.500
Rb 0.250 0.750 0.500

***

This record from Alexandria via LeMat-Bulk describes a geometry-optimized ReAsIBr2 structure. The functional is PBE.

Values from the calculation:
energy above the lowest structure with this stoichiometry	0.0	meV per atom
crystal system	tetragonal
density	7.07	g/cm³
total DFT energy (no corrections)	-3.92	eV per atom
formation energy (no corrections)	0.479	eV per atom
N(E_F)	0.782	states/eV/atom
magnetization	0.50	Bohr magnetons per cell

Unit cell a=5.104 b=5.104 c=4.939 alpha=90.00 beta=90.00 gamma=90.00
Sites, in units of the cell vectors:
I 0.500 0.500 0.500
Re 0.000 0.000 0.000
As 0.000 0.000 0.500
Br 0.000 0.500 0.000
Br 0.500 0.000 0.000

***

This record from Alexandria via LeMat-Bulk describes a geometry-optimized AsRhIBr2 structure. The functional is PBE.

Values from the calculation:
energy above the lowest structure with this stoichiometry	0.0	meV per atom
crystal system	tetragonal
density	5.99	g/cm³
total DFT energy (no corrections)	-3.17	eV per atom
formation energy (no corrections)	0.210	eV per atom
N(E_F)	0.910	states/eV/atom
magnetization	0.00	Bohr magnetons per cell

Unit cell a=5.117 b=5.117 c=4.918 alpha=90.00 beta=90.00 gamma=90.00
Sites, in units of the cell vectors:
I 0.500 0.500 0.500
As 0.000 0.000 0.500
Rh 0.000 0.000 0.000
Br 0.000 0.500 0.000
Br 0.500 0.000 0.000

***

This record from Alexandria via LeMat-Bulk describes a geometry-optimized AsRuIBr2 structure. The functional is PBE.

Values from the calculation:
energy above the lowest structure with this stoichiometry	0.0	meV per atom
crystal system	tetragonal
density	6.02	g/cm³
total DFT energy (no corrections)	-3.46	eV per atom
formation energy (no corrections)	0.302	eV per atom
N(E_F)	0.923	states/eV/atom
magnetization	0.00	Bohr magnetons per cell

Unit cell a=5.126 b=5.126 c=4.854 alpha=90.00 beta=90.00 gamma=90.00
Sites, in units of the cell vectors:
I 0.500 0.500 0.500
Ru 0.000 0.000 0.000
As 0.000 0.000 0.500
Br 0.000 0.500 0.000
Br 0.500 0.000 0.000

***

This record from Alexandria via LeMat-Bulk describes a geometry-optimized Sb2AsIBr structure. The functional is PBE.

Values from the calculation:
energy above the lowest structure with this stoichiometry	0.0	meV per atom
crystal system	tetragonal
density	5.10	g/cm³
total DFT energy (no corrections)	-2.74	eV per atom
formation energy (no corrections)	0.488	eV per atom
N(E_F)	0.900	states/eV/atom
magnetization	0.98	Bohr magnetons per cell

Unit cell a=5.542 b=5.542 c=5.564 alpha=90.00 beta=90.00 gamma=90.00
Sites, in units of the cell vectors:
I 0.000 0.000 0.500
Sb 0.000 0.500 0.000
Sb 0.500 0.000 0.000
As 0.000 0.000 0.000
Br 0.500 0.500 0.500

***

This record from Alexandria via LeMat-Bulk describes a geometry-optimized SbAsIBr2 structure. The functional is PBE.

Values from the calculation:
energy above the lowest structure with this stoichiometry	0.0	meV per atom
crystal system	tetragonal
density	4.54	g/cm³
total DFT energy (no corrections)	-2.53	eV per atom
formation energy (no corrections)	0.204	eV per atom
N(E_F)	0.404	states/eV/atom
magnetization	1.02	Bohr magnetons per cell

Unit cell a=5.398 b=5.398 c=6.075 alpha=90.00 beta=90.00 gamma=90.00
Sites, in units of the cell vectors:
I 0.500 0.500 0.500
Sb 0.000 0.000 0.000
As 0.000 0.000 0.500
Br 0.000 0.500 0.000
Br 0.500 0.000 0.000

***

This record from Alexandria via LeMat-Bulk describes a geometry-optimized SbAsI2Br structure. The functional is PBE.

Values from the calculation:
energy above the lowest structure with this stoichiometry	614.2	meV per atom
crystal system	tetragonal
density	4.35	g/cm³
total DFT energy (no corrections)	-1.77	eV per atom
formation energy (no corrections)	0.936	eV per atom
N(E_F)	0.752	states/eV/atom
magnetization	0.85	Bohr magnetons per cell

Unit cell a=5.862 b=5.862 c=5.893 alpha=90.00 beta=90.00 gamma=90.00
Sites, in units of the cell vectors:
I 0.000 0.500 0.000
I 0.500 0.000 0.000
Sb 0.000 0.000 0.500
As 0.500 0.500 0.500
Br 0.000 0.000 0.000

***

This record from Alexandria via LeMat-Bulk describes a geometry-optimized SbAs2IBr structure. The functional is PBE.

Values from the calculation:
energy above the lowest structure with this stoichiometry	0.0	meV per atom
crystal system	tetragonal
density	4.80	g/cm³
total DFT energy (no corrections)	-2.73	eV per atom
formation energy (no corrections)	0.595	eV per atom
N(E_F)	0.955	states/eV/atom
magnetization	1.57	Bohr magnetons per cell

Unit cell a=5.506 b=5.506 c=5.462 alpha=90.00 beta=90.00 gamma=90.00
Sites, in units of the cell vectors:
I 0.500 0.500 0.500
Sb 0.000 0.000 0.000
As 0.000 0.500 0.000
As 0.500 0.000 0.000
Br 0.000 0.000 0.500

***

This record from Alexandria via LeMat-Bulk describes a geometry-optimized SbAsI2Br structure. The functional is PBE.

Values from the calculation:
energy above the lowest structure with this stoichiometry	0.0	meV per atom
crystal system	tetragonal
density	4.98	g/cm³
total DFT energy (no corrections)	-2.39	eV per atom
formation energy (no corrections)	0.322	eV per atom
N(E_F)	0.658	states/eV/atom
magnetization	0.34	Bohr magnetons per cell

Unit cell a=5.574 b=5.574 c=5.695 alpha=90.00 beta=90.00 gamma=90.00
Sites, in units of the cell vectors:
I 0.000 0.500 0.000
I 0.500 0.000 0.000
Sb 0.000 0.000 0.500
As 0.000 0.000 0.000
Br 0.500 0.500 0.500

***

This record from Alexandria via LeMat-Bulk describes a geometry-optimized ScAsIBr2 structure. The functional is PBE.

Values from the calculation:
energy above the lowest structure with this stoichiometry	1170.8	meV per atom
crystal system	tetragonal
density	3.85	g/cm³
total DFT energy (no corrections)	-2.60	eV per atom
formation energy (no corrections)	0.573	eV per atom
N(E_F)	1.096	states/eV/atom
magnetization	0.66	Bohr magnetons per cell

Unit cell a=5.562 b=5.562 c=5.669 alpha=90.00 beta=90.00 gamma=90.00
Sites, in units of the cell vectors:
I 0.000 0.000 0.000
Sc 0.500 0.500 0.500
As 0.000 0.000 0.500
Br 0.000 0.500 0.000
Br 0.500 0.000 0.000